ReAs2P | GGA-PBE | optimized geometry

```
ReAs2P
1.0
-1.518 2.001 5.943
1.518 -2.001 5.943
1.518 2.001 -5.943
Re As P
1 2 1
Direct
0.000 0.000 0.000 Re
0.213 0.713 0.500 As
0.561 0.561 0.000 As
0.847 0.347 0.500 P
```

Values from the calculation:
ρ   8.443 g/cm3
E_form   0.3813 eV per atom
Total DFT energy (no corrections)   -25.63 eV/cell
Symmetry   Imm2